An optimized crystal structure of PrMg4Cd. Source: the Alexandria database, functional PBE.

Lattice parameters (Å, degrees): 8.4907 8.4907 8.4907 90.00 90.00 90.00
Closest atoms and distances in Å follow each position.
Space group F-43m (No. 216)
Asymmetric unit:
Pr  0.0000  0.0000  0.0000 (multiplicity 4)  12 Mg 3.52, 4 Cd 3.68
Mg  0.1253  0.1253  0.3747 (multiplicity 16)  6 Mg 3.00-3.01
Cd  0.2500  0.2500  0.7500 (multiplicity 4)  12 Mg 3.52, 4 Pr 3.68

Calculated values
As for the raw total energy: -48.3 eV for the cell shown. For the magnetic moment, the calculation gives 0.00 Bohr magnetons per cell. The excess energy over the best structure of this formula in the dataset is 2.674 kcal/mol of atoms.

An optimized crystal structure of CeMnNi. Source: the Alexandria database, functional PBE.

Lattice parameters (Å, degrees): 4.1166 4.1166 3.8464 90.00 90.00 120.00
Closest atoms and distances in Å follow each position.
Space group P-6m2 (No. 187)
Asymmetric unit:
Ce  0.0000  0.0000  0.0000 (multiplicity 1)  6 Mn 3.06, 6 Ni 3.06
Mn  0.6667  0.3333  0.5000 (multiplicity 1)  3 Ni 2.38
Ni  0.3333  0.6667  0.5000 (multiplicity 1)  3 Mn 2.38

Calculated values
As for the raw total energy: -20.9 eV for the cell shown. For the magnetic moment, the calculation gives 2.10 Bohr magnetons per cell. The excess energy over the best structure of this formula in the dataset is 0.000 kcal/mol of atoms.

An optimized crystal structure of PmDy2CuSe5. Source: the Alexandria database, functional PBE.

Lattice parameters (Å, degrees): 3.9771 18.7697 11.6919 90.00 90.00 90.00
Closest atoms and distances in Å follow each position.
Space group Cmc2_1 (No. 36)
Asymmetric unit:
Pm  0.0000  0.1926  0.0000 (multiplicity 4)  6 Se 2.86-3.10, 2 Cu 3.15
Dy  0.0000  0.0946  0.6723 (multiplicity 4)  7 Se 2.93-3.02
Dy  0.0000  0.1117  0.2979 (multiplicity 4)  7 Se 2.87-3.14
Cu  0.0000  0.4326  0.4419 (multiplicity 4)  4 Se 2.40-2.46
Se  0.0000  0.0437  0.0526 (multiplicity 4)  2 Cu 2.41
Se  0.0000  0.2997  0.6820 (multiplicity 4)  2 Pm 2.92, 2 Dy 2.93
Se  0.0000  0.3259  0.3195 (multiplicity 4)  1 Cu 2.46
Se  0.0000  0.3578  0.9933 (multiplicity 4)  4 Dy 3.02-3.08, 1 Pm 3.10
Se  0.0000  0.4972  0.7704 (multiplicity 4)  1 Cu 2.40

Calculated values
As for the raw total energy: -196.4 eV for the cell shown. For the magnetic moment, the calculation gives 0.00 Bohr magnetons per cell. The value obtained for the uncorrected formation energy is -1.52 eV/atom.

An optimized crystal structure of Tm2Ga4Rh5. Source: the Alexandria database, functional PBE.

Lattice parameters (Å, degrees): 5.6846 9.3965 14.8254 90.00 90.00 90.00
Closest atoms and distances in Å follow each position.
Space group Fmmm (No. 69)
Asymmetric unit:
Tm  0.0000  0.0000  0.1191 (multiplicity 8)  6 Ga 3.21-3.23, 10 Rh 3.26-3.36, 1 Tm 3.53
Ga  0.0000  0.1567  0.3690 (multiplicity 16)  5 Rh 2.43-2.56
Rh  0.0000  0.0000  0.5000 (multiplicity 4)  4 Ga 2.44
Rh  0.2500  0.2500  0.0000 (multiplicity 8)  4 Ga 2.56, 4 Rh 2.75-2.84
Rh  0.2500  0.2500  0.2500 (multiplicity 8)  4 Ga 2.43

Calculated values
As for the raw total energy: -263.0 eV for the cell shown. For the magnetic moment, the calculation gives 0.00 Bohr magnetons per cell.

An optimized crystal structure of Ba2MnAl. Source: the Alexandria database, functional PBE.

Lattice parameters (Å, degrees): 4.1982 5.6994 11.3713 90.00 90.00 90.00
Closest atoms and distances in Å follow each position.
Space group Imm2 (No. 44)
Asymmetric unit:
Ba  0.0000  0.0000  0.0000 (multiplicity 2)  4 Ba 3.63-4.03, 4 Al 3.65, 4 Mn 3.73-3.89
Ba  0.0000  0.5000  0.1975 (multiplicity 2)  4 Ba 3.63-4.03, 4 Mn 3.69, 4 Al 3.79-3.81
Mn  0.0000  0.5000  0.7882 (multiplicity 2)  2 Al 2.58
Al  0.0000  0.0000  0.4198 (multiplicity 2)  2 Mn 2.58

Calculated values
As for the raw total energy: -31.7 eV for the cell shown. For the magnetic moment, the calculation gives 6.85 Bohr magnetons per cell.

An optimized crystal structure of BeFeRuW. Source: the Alexandria database, functional PBE.

Lattice parameters (Å, degrees): 5.8446 5.8446 5.8446 90.00 90.00 90.00
Closest atoms and distances in Å follow each position.
Space group F-43m (No. 216)
Asymmetric unit:
Be  0.0000  0.0000  0.0000 (multiplicity 4)  4 Ru 2.53, 4 Fe 2.53
Fe  0.2500  0.2500  0.2500 (multiplicity 4)  4 W 2.53, 4 Be 2.53
Ru  0.2500  0.2500  0.7500 (multiplicity 4)  4 W 2.53, 4 Be 2.53
W  0.0000  0.0000  0.5000 (multiplicity 4)  4 Fe 2.53, 4 Ru 2.53

Calculated values
As for the raw total energy: -139.6 eV for the cell shown. For the magnetic moment, the calculation gives 0.00 Bohr magnetons per cell.

An optimized crystal structure of NpTiGa2. Source: the Alexandria database, functional PBE.

Lattice parameters (Å, degrees): 4.2127 4.2127 4.3159 90.00 90.00 90.00
Closest atoms and distances in Å follow each position.
Space group P4/mmm (No. 123)
Asymmetric unit:
Np  0.0000  0.0000  0.0000 (multiplicity 1)  4 Ti 2.98, 8 Ga 3.02
Ti  0.5000  0.5000  0.0000 (multiplicity 1)  4 Np 2.98, 8 Ga 3.02
Ga  0.0000  0.5000  0.5000 (multiplicity 2)  4 Ga 2.98, 4 Np 3.02, 4 Ti 3.02

Calculated values
As for the raw total energy: -27.0 eV for the cell shown. For the magnetic moment, the calculation gives 5.16 Bohr magnetons per cell. The excess energy over the best structure of this formula in the dataset is 4.377 kcal/mol of atoms.

An optimized crystal structure of Lu3ScFe. Source: the Alexandria database, functional PBE.

Lattice parameters (Å, degrees): 5.0927 5.0927 5.0927 90.00 90.00 90.00
Closest atoms and distances in Å follow each position.
Space group Pm-3m (No. 221)
Asymmetric unit:
Lu  0.0000  0.0000  0.5000 (multiplicity 3)  2 Fe 2.55
Sc  0.5000  0.5000  0.5000 (multiplicity 1)  12 Lu 3.60
Fe  0.0000  0.0000  0.0000 (multiplicity 1)  6 Lu 2.55

Calculated values
As for the raw total energy: -27.7 eV for the cell shown. For the magnetic moment, the calculation gives 0.01 Bohr magnetons per cell.

An optimized crystal structure of Ba12Tl6Hg. Source: the Alexandria database, functional PBE.

Lattice parameters (Å, degrees): 15.6667 15.6667 14.3339 90.00 90.00 120.00
Closest atoms and distances in Å follow each position.
Space group R-3 (No. 148, hexagonal axes)
Asymmetric unit:
Ba  0.0350  0.8166  0.3948 (multiplicity 18)  4 Tl 3.50-3.70
Ba  0.0461  0.8343  0.8890 (multiplicity 18)  1 Hg 3.42, 2 Tl 3.53-3.54
Tl  0.0517  0.7862  0.6490 (multiplicity 18)  7 Ba 3.50-3.86
Hg  0.0000  0.0000  0.0000 (multiplicity 3)  6 Ba 3.42

Calculated values
As for the raw total energy: -122.8 eV for the cell shown. For the magnetic moment, the calculation gives 0.01 Bohr magnetons per cell.

An optimized crystal structure of Zr2MnCuC. Source: the Alexandria database, functional PBE.

Lattice parameters (Å, degrees): 4.5851 4.5851 3.6588 90.00 90.00 90.00
Closest atoms and distances in Å follow each position.
Space group P4/mmm (No. 123)
Asymmetric unit:
Zr  0.0000  0.5000  0.0000 (multiplicity 2)  2 C 2.29
Mn  0.0000  0.0000  0.5000 (multiplicity 1)  2 C 1.83
Cu  0.5000  0.5000  0.5000 (multiplicity 1)  8 Zr 2.93, 4 Mn 3.24
C  0.0000  0.0000  0.0000 (multiplicity 1)  2 Mn 1.83

Calculated values
As for the raw total energy: -41.0 eV for the cell shown. For the magnetic moment, the calculation gives 0.00 Bohr magnetons per cell.

An optimized crystal structure of ReP2SI. Source: the Alexandria database, functional PBE.

Lattice parameters (Å, degrees): 5.1318 5.1318 4.8902 90.00 90.00 90.00
Closest atoms and distances in Å follow each position.
Space group P4/mmm (No. 123)
Asymmetric unit:
Re  0.0000  0.0000  0.0000 (multiplicity 1)  8 P 3.54, 4 S 3.63
P  0.0000  0.5000  0.5000 (multiplicity 2)  2 I 2.57
S  0.5000  0.5000  0.0000 (multiplicity 1)  2 I 2.45
I  0.5000  0.5000  0.5000 (multiplicity 1)  2 S 2.45, 4 P 2.57

Calculated values
As for the raw total energy: -17.6 eV for the cell shown. For the magnetic moment, the calculation gives 3.30 Bohr magnetons per cell. The value obtained for the uncorrected formation energy is 2.26 eV/atom. The excess energy over the best structure of this formula in the dataset is 41.335 kcal/mol of atoms.